1.
A plane-wave DFT calculation with PBE-GGA was carried out for a relaxed structure of Nd5DyIn3.

Output
**Crystal system**: hexagonal
**ΔE_f**: -0.344 eV per atom

a b c (Å): 9.5871 9.5871 6.9112
angles (deg): 90.00 90.00 120.00
Space group P6_3/mcm (No. 193)
Inequivalent atoms, fractional coordinates:
Nd 0.0000 0.3377 0.2500 [6 per cell]
Nd 0.3333 0.6667 0.0000 [4 per cell]
Dy 0.0000 0.0000 0.0000 [2 per cell]
In 0.0000 0.3254 0.7500 [6 per cell]

---

2.
A plane-wave DFT calculation with PBE-GGA was carried out for a relaxed structure of K2BeHg.

Output
**Crystal system**: tetragonal
**Offset from the most stable computed form**: 283 meV per atom
**ΔE_f**: 0.489 eV per atom

a b c (Å): 5.157 5.157 9.490
angles (deg): 90.00 90.00 90.00
Space group I-4m2 (No. 119)
Inequivalent atoms, fractional coordinates:
K 0.000 0.000 0.000 [2 per cell]
K 0.000 0.500 0.250 [2 per cell]
Be 0.000 0.500 0.750 [2 per cell]
Hg 0.000 0.000 0.500 [2 per cell]

---

Number 1: spin magnetization 0.72 μB/f.u.. Number 2: spin magnetization 0.00 μB/f.u..